P | # La5PrDy2 | the Alexandria database | GGA-PBE | optimized geometry
# V in Å³/cell: 284.1
# Crystal system: orthorhombic
# Magnetic moment in μB/atom: 0.000
data_La5PrDy2
_cell_length_a 9.0775
_cell_length_b 9.0775
_cell_length_c 9.0775
_cell_angle_alpha 156.82
_cell_angle_beta 101.98
_cell_angle_gamma 82.71
_space_group_name_H-M_alt 'P 1'
_space_group_IT_number 1
_space_group_name_Hall 'P 1'
loop_
_atom_site_label
_atom_site_type_symbol
_atom_site_fract_x
_atom_site_fract_y
_atom_site_fract_z
La1 La 0.0000 0.0000 0.0000
La2 La 0.1010 0.3697 0.7313
La3 La 0.3616 0.6303 0.7313
La4 La 0.6384 0.3697 0.2687
La5 La 0.8990 0.6303 0.2687
Pr1 Pr 0.5000 0.0000 0.5000
Dy1 Dy 0.2572 0.2572 0.0000
Dy2 Dy 0.7428 0.7428 0.0000

---

Q | # La5PrDy2 | the Alexandria database | GGA-PBE | optimized geometry
# V in Å³/cell: 571.4
# Crystal system: orthorhombic
# Magnetic moment in μB/atom: 0.000
data_La5PrDy2
_cell_length_a 6.2609
_cell_length_b 6.2609
_cell_length_c 18.9881
_cell_angle_alpha 90.00
_cell_angle_beta 90.00
_cell_angle_gamma 129.86
_space_group_name_H-M_alt 'P 1'
_space_group_IT_number 1
_space_group_name_Hall 'P 1'
loop_
_atom_site_label
_atom_site_type_symbol
_atom_site_fract_x
_atom_site_fract_y
_atom_site_fract_z
La1 La 0.0511 0.9489 0.5841
La2 La 0.0511 0.9489 0.9159
La3 La 0.3446 0.6554 0.5370
La4 La 0.3446 0.6554 0.9630
La5 La 0.4276 0.5724 0.7500
La6 La 0.5724 0.4276 0.2500
La7 La 0.6554 0.3446 0.0370
La8 La 0.6554 0.3446 0.4630
La9 La 0.9489 0.0511 0.0841
La10 La 0.9489 0.0511 0.4159
Pr1 Pr 0.1236 0.8764 0.7500
Pr2 Pr 0.8764 0.1236 0.2500
Dy1 Dy 0.2544 0.7456 0.1559
Dy2 Dy 0.2544 0.7456 0.3441
Dy3 Dy 0.7456 0.2544 0.6559
Dy4 Dy 0.7456 0.2544 0.8441

---

Which is more stable than every other structure shown? P is more stable than every other one.